DFT (PBE) results for a relaxed structure of La2GaSb.

DOS(E_F): 3.8 states/eV/f.u.
Raw formation energy: -0.57 eV per atom
Polymorph energy (0 for the lowest one): 320 meV/atom

abc: 8.407 8.407 7.228
angles: 90.00 90.00 90.00
Space group I-42d (No. 122)
Asymmetric unit:
La 0.239 0.250 0.125 [8 per cell]
Ga 0.000 0.000 0.000 [4 per cell]
Sb 0.000 0.000 0.500 [4 per cell]


DFT (PBE) results for a relaxed structure of Tl3Cd3InHg2.

DOS(E_F): 4.5 states/eV/f.u.
ΔE_f: 0.058 eV per atom

abc: 9.2967 9.2967 3.3061
angles: 90.00 90.00 120.00
Space group P-62m (No. 189)
Asymmetric unit:
Tl 0.0000 0.6871 0.0000 [3 per cell]
Cd 0.0000 0.3570 0.5000 [3 per cell]
In 0.0000 0.0000 0.5000 [1 per cell]
Hg 0.3333 0.6667 0.0000 [2 per cell]